Entry 1:
Computed, not measured: a geometry-optimized Cd2In2HgI6 structure at the PBE-GGA level of DFT.

a b c (Å): 8.117 8.822 8.853
angles (deg): 117.61 92.69 106.06
Element x y z (fractional)
Cd: 0.142 0.207 0.221
Cd: 0.858 0.793 0.779
In: 0.273 0.207 0.760
In: 0.727 0.793 0.240
Hg: 0.500 0.000 0.500
I: 0.007 0.740 0.490
I: 0.098 0.816 0.049
I: 0.475 0.382 0.205
I: 0.525 0.618 0.795
I: 0.902 0.184 0.951
I: 0.993 0.260 0.510

Computed properties:
Symmetry: No. 2
E: -1.99 eV per atom

***

Entry 2:
Computed, not measured: a geometry-optimized CdInHgI6 structure at the PBE-GGA level of DFT.

a b c (Å): 7.590 7.590 7.289
angles (deg): 90.00 90.00 120.00
Element x y z (fractional)
Cd: 0.000 0.000 0.000
In: 0.667 0.333 0.000
Hg: 0.333 0.667 0.501
I: 0.338 0.021 0.764
I: 0.338 0.318 0.234
I: 0.682 0.020 0.234
I: 0.683 0.662 0.764
I: 0.979 0.317 0.764
I: 0.980 0.662 0.234

Computed properties:
Symmetry: No. 143
E: -1.85 eV per atom

***

Entry 3:
Computed, not measured: a geometry-optimized CdInHgI2 structure at the PBE-GGA level of DFT.

a b c (Å): 6.198 6.198 5.509
angles (deg): 90.00 90.00 90.00
Element x y z (fractional)
Cd: 0.000 0.000 0.000
In: 0.500 0.500 0.500
Hg: 0.000 0.000 0.500
I: 0.000 0.500 0.000
I: 0.500 0.000 0.000

Computed properties:
Symmetry: No. 123
E: -1.58 eV per atom

***

Calculated formation energy (no corrections) (meV/atom), listed in the same order as above: -456; -374; -166